This record from the Alexandria database describes an optimized crystal structure of KMoO2. The functional is PBE+U.

- Fermi-level density of states (states/eV per cell) = 1.2
- DFT total energy (eV/atom) = -5.56
- space-group type = P4/mmm (123)
- magnetization (μB per cell) = 0.2

The structure in extended XYZ format:
```
4
Lattice="2.7786 0.0000 0.0000 0.0000 2.7786 0.0000 0.0000 0.0000 6.3261" Properties=species:S:1:pos:R:3 pbc="T T T"
Mo 1.3893 1.3893 0.0000
K 1.3893 1.3893 3.1631
O 0.0000 0.0000 5.1112
O 0.0000 0.0000 1.2150
```

=====

This record from the Alexandria database describes an optimized crystal structure of K4MoO8. The functional is PBE+U.

- DFT total energy (eV/atom) = -5.21
- space-group type = P1 (1)
- magnetization (μB per cell) = 0.1

The structure in extended XYZ format:
```
13
Lattice="5.6690 -0.0549 -0.1780 2.3540 5.7553 -0.0102 -0.0545 0.1087 8.0381" Properties=species:S:1:pos:R:3 pbc="T T T"
K 5.6631 0.2995 0.2857
K 5.4318 0.3102 3.9884
K 2.3877 2.4331 4.7418
K 5.0749 4.0617 2.2560
Mo 4.7480 4.4937 6.2476
O 2.2036 4.0985 2.5848
O 5.4302 5.1841 7.7365
O 5.2939 5.5276 4.8635
O 2.2026 2.6957 2.0762
O 0.9837 1.9787 2.5002
O 2.9863 4.7606 6.2780
O 4.7718 2.4977 6.6214
O 5.3684 2.8253 5.2698
```

=====

This record from the Alexandria database describes an optimized crystal structure of K2Mo2O7. The functional is PBE+U.

- Fermi-level density of states (states/eV per cell) = 0.0
- DFT total energy (eV/atom) = -6.45
- space-group type = C2/m (12)
- magnetization (μB per cell) = 0.1

The structure in extended XYZ format:
```
11
Lattice="5.5753 -0.1040 -0.1501 -0.6961 6.6395 0.3071 -0.6961 -2.0440 6.3245" Properties=species:S:1:pos:R:3 pbc="T T T"
K 2.0916 0.5768 4.3973
K 2.0916 3.9147 2.0842
Mo 4.7981 0.8923 1.2877
Mo -0.6149 3.5992 5.1939
O 0.3901 4.6716 4.2104
O 3.7931 2.1898 0.6289
O 3.7931 -0.1802 2.2711
O 0.3901 2.3017 5.8526
O 0.0000 0.0000 0.0000
O 3.6693 2.8106 4.0558
O 0.5139 1.6809 2.4257
```

=====

This record from the Alexandria database describes an optimized crystal structure of K2MoO5. The functional is PBE+U.

- DFT total energy (eV/atom) = -5.70
- space-group type = Cmcm (63)
- magnetization (μB per cell) = 0.1

The structure in extended XYZ format:
```
16
Lattice="-2.8218 -2.5367 -1.0848 5.2021 -0.6519 -4.8288 5.0654 -8.4566 6.5985" Properties=species:S:1:pos:R:3 pbc="T T T"
K 3.4319 -6.2190 -1.5628
K 1.6690 -3.2759 -3.8592
K 4.0138 -5.4261 2.2476
K 5.7766 -8.3692 4.5440
Mo 4.9482 -8.9075 0.7794
Mo 2.4974 -2.7377 -0.0946
O 6.3245 -9.9779 -0.2973
O 5.6823 -8.9059 -1.1338
O 3.7083 -4.0974 -0.0647
O 2.4247 -1.9544 -1.7369
O 1.0615 -3.9934 -0.6016
O 6.3841 -7.6518 1.2864
O 3.7374 -7.5477 0.7495
O 5.0210 -9.6907 2.4216
O 1.1212 -1.6672 0.9821
O 1.7633 -2.7393 1.8186
```

=====

- Number 1 is which compound?
  KMoO2

=====

- What is the formula in the third record?
  K2Mo2O7

=====

- Which of these has the lowest DFT total energy?
  K2Mo2O7